No. 1
Density functional theory data (PBE-GGA) for a relaxed structure of ZrBe2Pt.

The structure in POSCAR format:
```
ZrBe2Pt
1.0
3.702 0.000 0.000
0.000 1.580 4.610
0.000 -1.580 4.610
Zr Be Pt
1 2 1
Direct
0.000 0.000 0.000
0.000 0.724 0.724
0.500 0.610 0.610
0.500 0.299 0.299
```

Results
crystal system: orthorhombic
magnetic moment: 0.0 μB/f.u.
E_tot: -24.01 eV/cell
E_form: -0.492 eV per atom
polymorph energy (0 for the lowest one): 106.9 meV per atom

=====

No. 2
Density functional theory data (PBE-GGA) for a relaxed structure of As2PtRh.

The structure in POSCAR format:
```
As2PtRh
1.0
4.306 -1.714 0.000
4.306 1.714 0.000
-1.160 0.000 4.472
As Pt Rh
2 1 1
Direct
0.000 0.000 0.000
0.232 0.232 0.595
0.735 0.735 0.144
0.508 0.508 0.498
```

Results
crystal system: monoclinic
magnetic moment: 0.0 μB/f.u.
E_tot: -23.49 eV/cell
E_form: -0.201 eV per atom
polymorph energy (0 for the lowest one): 65.6 meV per atom

=====

No. 3
Density functional theory data (PBE-GGA) for a relaxed structure of NaMg2Cd9.

The structure in POSCAR format:
```
NaMg2Cd9
1.0
-6.058 6.058 3.927
6.058 -6.058 3.927
6.058 6.058 -3.927
Na Mg Cd
2 4 18
Direct
0.375 0.625 0.750
0.625 0.375 0.250
0.000 0.000 0.000
0.000 0.000 0.500
0.000 0.500 0.000
0.500 0.000 0.500
0.125 0.875 0.250
0.134 0.557 0.335
0.134 0.799 0.577
0.201 0.278 0.335
0.201 0.866 0.923
0.278 0.201 0.835
0.278 0.443 0.077
0.443 0.278 0.577
0.443 0.866 0.165
0.557 0.134 0.835
0.557 0.722 0.423
0.722 0.557 0.923
0.722 0.799 0.165
0.799 0.134 0.077
0.799 0.722 0.665
0.866 0.201 0.423
0.866 0.443 0.665
0.875 0.125 0.750
```

Results
crystal system: tetragonal
magnetic moment: 0.0 μB/f.u.
E_tot: -26.82 eV/cell
E_form: -0.055 eV per atom

=====

No. 4
Density functional theory data (PBE-GGA) for a relaxed structure of Mn4NbSb.

The structure in POSCAR format:
```
Mn4NbSb
1.0
0.000 3.454 3.454
3.454 0.000 3.454
3.454 3.454 0.000
Mn Nb Sb
4 1 1
Direct
0.125 0.125 0.125
0.125 0.125 0.625
0.125 0.625 0.125
0.625 0.125 0.125
0.750 0.750 0.750
0.500 0.500 0.500
```

Results
crystal system: cubic
magnetic moment: 4.8 μB/f.u.
E_tot: -50.66 eV/cell
formation energy without anion corrections: 0.21 eV per formula unit

=====

No. 5
Density functional theory data (PBE-GGA) for a relaxed structure of Tm5Cd2Hg.

The structure in POSCAR format:
```
Tm5Cd2Hg
1.0
2.355 -5.332 0.000
2.355 5.332 0.000
0.000 0.000 17.064
Tm Cd Hg
10 4 2
Direct
0.043 0.957 0.598
0.043 0.957 0.902
0.348 0.652 0.535
0.348 0.652 0.965
0.457 0.543 0.750
0.543 0.457 0.250
0.652 0.348 0.035
0.652 0.348 0.465
0.957 0.043 0.098
0.957 0.043 0.402
0.246 0.754 0.151
0.246 0.754 0.349
0.754 0.246 0.651
0.754 0.246 0.849
0.169 0.831 0.750
0.831 0.169 0.250
```

Results
crystal system: orthorhombic
magnetic moment: 0.0 μB/f.u.
E_tot: -51.57 eV/cell
E_form: -0.162 eV per atom

=====

No. 6
Density functional theory data (PBE-GGA) for a relaxed structure of Tl5Hg3I12.

The structure in POSCAR format:
```
Tl5Hg3I12
1.0
-9.969 9.969 9.969
9.969 -9.969 9.969
9.969 9.969 -9.969
Tl Hg I
20 12 48
Direct
0.000 0.000 0.000
0.000 0.000 0.500
0.000 0.500 0.000
0.000 0.500 0.500
0.125 0.750 0.875
0.125 0.875 0.250
0.250 0.125 0.875
0.250 0.625 0.375
0.375 0.250 0.625
0.375 0.625 0.750
0.500 0.000 0.000
0.500 0.000 0.500
0.500 0.500 0.000
0.500 0.500 0.500
0.625 0.375 0.250
0.625 0.750 0.375
0.750 0.375 0.625
0.750 0.875 0.125
0.875 0.125 0.750
0.875 0.250 0.125
0.125 0.250 0.375
0.125 0.375 0.750
0.250 0.375 0.125
0.250 0.875 0.625
0.375 0.125 0.250
0.375 0.750 0.125
0.625 0.250 0.875
0.625 0.875 0.750
0.750 0.125 0.375
0.750 0.625 0.875
0.875 0.625 0.250
0.875 0.750 0.625
0.030 0.227 0.120
0.030 0.303 0.910
0.090 0.620 0.393
0.090 0.970 0.697
0.107 0.727 0.697
0.107 0.880 0.410
0.120 0.030 0.227
0.120 0.590 0.893
0.197 0.227 0.607
0.197 0.470 0.590
0.227 0.120 0.030
0.227 0.607 0.197
0.273 0.303 0.893
0.273 0.470 0.380
0.303 0.893 0.273
0.303 0.910 0.030
0.380 0.273 0.470
0.380 0.607 0.910
0.393 0.090 0.620
0.393 0.803 0.773
0.410 0.107 0.880
0.410 0.803 0.530
0.470 0.380 0.273
0.470 0.590 0.197
0.530 0.410 0.803
0.530 0.620 0.727
0.590 0.197 0.470
0.590 0.893 0.120
0.607 0.197 0.227
0.607 0.910 0.380
0.620 0.393 0.090
0.620 0.727 0.530
0.697 0.090 0.970
0.697 0.107 0.727
0.727 0.530 0.620
0.727 0.697 0.107
0.773 0.393 0.803
0.773 0.880 0.970
0.803 0.530 0.410
0.803 0.773 0.393
0.880 0.410 0.107
0.880 0.970 0.773
0.893 0.120 0.590
0.893 0.273 0.303
0.910 0.030 0.303
0.910 0.380 0.607
0.970 0.697 0.090
0.970 0.773 0.880
```

Results
crystal system: cubic
magnetic moment: 0.0 μB/f.u.
E_tot: -144.61 eV/cell
formation energy without anion corrections: -4.82 eV per formula unit

=====

No. 7
Density functional theory data (PBE-GGA) for a relaxed structure of HoCuOs.

The structure in POSCAR format:
```
HoCuOs
1.0
-2.576 2.584 3.886
2.576 -2.584 3.886
2.576 2.584 -3.886
Ho Cu Os
2 2 2
Direct
0.379 0.129 0.250
0.621 0.871 0.750
0.000 0.000 0.500
0.000 0.500 0.000
0.000 0.500 0.500
0.500 0.500 0.000
```

Results
crystal system: orthorhombic
magnetic moment: 0.0 μB/f.u.
E_tot: -41.49 eV/cell
E_form: -0.280 eV per atom
polymorph energy (0 for the lowest one): 0.0 meV per atom

=====

No. 8
Density functional theory data (PBE-GGA) for a relaxed structure of ScRe2Ni.

The structure in POSCAR format:
```
ScRe2Ni
1.0
-2.200 2.200 3.103
2.200 -2.200 3.103
2.200 2.200 -3.103
Sc Re Ni
1 2 1
Direct
0.000 0.000 0.000
0.250 0.750 0.500
0.500 0.500 0.000
0.750 0.250 0.500
```

Results
crystal system: tetragonal
magnetic moment: 0.0 μB/f.u.
E_tot: -37.32 eV/cell
E_form: -0.077 eV per atom
polymorph energy (0 for the lowest one): 0.0 meV per atom

=====

No. 9
Density functional theory data (PBE-GGA) for a relaxed structure of Ag2BiPb2.

The structure in POSCAR format:
```
Ag2BiPb2
1.0
-2.278 2.278 6.610
2.278 -2.278 6.610
2.278 2.278 -6.610
Ag Bi Pb
2 1 2
Direct
0.100 0.100 0.000
0.900 0.900 0.000
0.500 0.500 0.000
0.250 0.750 0.500
0.750 0.250 0.500
```

Results
crystal system: tetragonal
magnetic moment: 0.0 μB/f.u.
E_tot: -15.95 eV/cell
E_form: 0.209 eV per atom
polymorph energy (0 for the lowest one): 138.6 meV per atom

=====

No. 10
Density functional theory data (PBE-GGA) for a relaxed structure of Tb2Be3SiPt4.

The structure in POSCAR format:
```
Tb2Be3SiPt4
1.0
4.087 0.000 0.000
0.000 4.087 0.000
0.000 0.000 9.522
Tb Be Si Pt
2 3 1 4
Direct
0.000 0.500 0.249
0.500 0.000 0.751
0.000 0.500 0.878
0.500 0.000 0.122
0.500 0.500 0.500
0.000 0.000 0.500
0.000 0.000 0.000
0.000 0.500 0.633
0.500 0.000 0.367
0.500 0.500 0.000
```

Results
crystal system: tetragonal
magnetic moment: 0.0 μB/f.u.
E_tot: -59.81 eV/cell
formation energy without anion corrections: -9.78 eV per formula unit

=====

No. 11
Density functional theory data (PBE-GGA) for a relaxed structure of VSbI2.

The structure in POSCAR format:
```
VSbI2
1.0
0.000 3.794 3.794
3.794 0.000 3.794
3.794 3.794 0.000
V Sb I
1 1 2
Direct
0.000 0.000 0.000
0.500 0.500 0.500
0.250 0.250 0.250
0.750 0.750 0.750
```

Results
crystal system: cubic
magnetic moment: 2.9 μB/f.u.
E_tot: -13.75 eV/cell
formation energy without anion corrections: 2.59 eV per formula unit
polymorph energy (0 for the lowest one): 575.9 meV per atom

=====

No. 12
Density functional theory data (PBE-GGA) for a relaxed structure of Ta4InRu.

The structure in POSCAR format:
```
Ta4InRu
1.0
0.000 3.827 3.827
3.827 0.000 3.827
3.827 3.827 0.000
Ta In Ru
4 1 1
Direct
0.125 0.125 0.125
0.125 0.125 0.626
0.125 0.626 0.125
0.626 0.125 0.125
0.750 0.750 0.750
0.500 0.500 0.500
```

Results
crystal system: cubic
magnetic moment: 0.0 μB/f.u.
E_tot: -57.35 eV/cell
E_form: 0.346 eV per atom

=====

No. 13
Density functional theory data (PBE-GGA) for a relaxed structure of LiSc2Pt.

The structure in POSCAR format:
```
LiSc2Pt
1.0
-1.716 2.270 4.880
1.716 -2.270 4.880
1.716 2.270 -4.880
Li Sc Pt
1 2 1
Direct
0.000 0.000 0.000
0.283 0.783 0.500
0.564 0.564 0.000
0.780 0.280 0.500
```

Results
crystal system: orthorhombic
magnetic moment: 0.0 μB/f.u.
E_tot: -22.83 eV/cell
E_form: -0.553 eV per atom
polymorph energy (0 for the lowest one): 186.0 meV per atom

=====

No. 14
Density functional theory data (PBE-GGA) for a relaxed structure of TaFeIrRh.

The structure in POSCAR format:
```
TaFeIrRh
1.0
0.000 3.107 3.107
3.107 0.000 3.107
3.107 3.107 0.000
Ta Fe Ir Rh
1 1 1 1
Direct
0.000 0.000 0.000
0.500 0.500 0.500
0.750 0.750 0.750
0.250 0.250 0.250
```

Results
crystal system: cubic
magnetic moment: 3.1 μB/f.u.
E_tot: -37.58 eV/cell
E_form: -0.263 eV per atom
polymorph energy (0 for the lowest one): 155.0 meV per atom

=====

No. 15
Density functional theory data (PBE-GGA) for a relaxed structure of Mn2CoMo.

The structure in POSCAR format:
```
Mn2CoMo
1.0
0.000 2.930 2.930
2.930 0.000 2.930
2.930 2.930 0.000
Mn Co Mo
2 1 1
Direct
0.000 0.000 0.000
0.250 0.250 0.250
0.750 0.750 0.750
0.500 0.500 0.500
```

Results
crystal system: cubic
magnetic moment: 4.7 μB/f.u.
E_tot: -35.87 eV/cell
E_form: 0.103 eV per atom

=====

No. 16
Density functional theory data (PBE-GGA) for a relaxed structure of Ti2Fe2Mo.

The structure in POSCAR format:
```
Ti2Fe2Mo
1.0
7.006 0.000 0.000
0.000 7.006 0.000
0.000 0.000 2.798
Ti Fe Mo
4 4 2
Direct
0.150 0.350 0.000
0.350 0.850 0.000
0.650 0.150 0.000
0.850 0.650 0.000
0.152 0.652 0.500
0.348 0.152 0.500
0.652 0.848 0.500
0.848 0.348 0.500
0.000 0.000 0.000
0.500 0.500 0.000
```

Results
crystal system: tetragonal
magnetic moment: 0.2 μB/f.u.
E_tot: -86.35 eV/cell
E_form: 0.074 eV per atom
polymorph energy (0 for the lowest one): 52.8 meV per atom

=====

No. 17
Density functional theory data (PBE-GGA) for a relaxed structure of ThScAgGe.

The structure in POSCAR format:
```
ThScAgGe
1.0
0.000 3.578 3.578
3.578 0.000 3.578
3.578 3.578 0.000
Th Sc Ag Ge
1 1 1 1
Direct
0.000 0.000 0.000
0.500 0.500 0.500
0.250 0.250 0.250
0.750 0.750 0.750
```

Results
crystal system: cubic
magnetic moment: 0.0 μB/f.u.
E_tot: -22.65 eV/cell
E_form: -0.358 eV per atom

=====

No. 18
Density functional theory data (PBE-GGA) for a relaxed structure of Ca2AcUN4.

The structure in POSCAR format:
```
Ca2AcUN4
1.0
6.154 0.000 0.000
0.000 3.634 0.000
-2.343 0.000 5.992
Ca Ac U N
2 1 1 4
Direct
0.000 0.000 0.000
0.000 0.500 0.500
0.500 0.000 0.500
0.500 0.500 0.000
0.273 0.000 0.778
0.288 0.500 0.202
0.712 0.500 0.798
0.727 0.000 0.222
```

Results
crystal system: monoclinic
magnetic moment: 0.9 μB/f.u.
E_tot: -62.04 eV/cell
formation energy without anion corrections: -9.33 eV per formula unit

=====

No. 19
Density functional theory data (PBE-GGA) for a relaxed structure of KTcIr.

The structure in POSCAR format:
```
KTcIr
1.0
5.023 0.000 0.000
-2.511 4.350 0.000
0.000 0.000 2.557
K Tc Ir
1 1 1
Direct
0.000 0.000 0.000
0.667 0.333 0.500
0.333 0.667 0.500
```

Results
crystal system: hexagonal
magnetic moment: 0.0 μB/f.u.
E_tot: -16.48 eV/cell
E_form: 1.281 eV per atom
polymorph energy (0 for the lowest one): 727.4 meV per atom

=====

No. 20
Density functional theory data (PBE-GGA) for a relaxed structure of TlHgIBr2.

The structure in POSCAR format:
```
TlHgIBr2
1.0
7.754 0.000 0.000
0.000 6.469 0.000
-0.163 0.000 8.589
Tl Hg I Br
2 2 2 4
Direct
0.236 0.250 0.118
0.764 0.750 0.882
0.119 0.250 0.638
0.881 0.750 0.362
0.448 0.250 0.746
0.552 0.750 0.254
0.075 0.750 0.613
0.101 0.750 0.110
0.899 0.250 0.890
0.925 0.250 0.387
```

Results
crystal system: monoclinic
magnetic moment: 0.0 μB/f.u.
E_tot: -20.67 eV/cell
formation energy without anion corrections: -2.77 eV per formula unit
polymorph energy (0 for the lowest one): 0.0 meV per atom